Entry 1:
Below is CaAc4Pr5 after structural relaxation, with properties calculated at the PBE level.

```
data_CaAc4Pr5
_cell_length_a 3.8872
_cell_length_b 3.8872
_cell_length_c 26.4755
_cell_angle_alpha 90.00
_cell_angle_beta 90.00
_cell_angle_gamma 90.00
_symmetry_space_group_name_H-M 'P 4/m m m'
_symmetry_Int_Tables_number 123
_symmetry_space_group_name_Hall '-P 4 2'
loop_
_atom_site_label
_atom_site_type_symbol
_atom_site_fract_x
_atom_site_fract_y
_atom_site_fract_z
Ca1 Ca 0.0000 0.0000 0.0000
Ac1 Ac 0.0000 0.0000 0.1975
Ac2 Ac 0.0000 0.0000 0.3992
Pr1 Pr 0.5000 0.5000 0.1010
Pr2 Pr 0.5000 0.5000 0.2990
Pr3 Pr 0.5000 0.5000 0.5000
```

Calculated volume (Å³/cell): 400
Theoretical density (Mg/m³): 6.86
Calculated formation energy (eV/atom): 0.0289

---

Entry 2:
Below is CaAc9Pr2 after structural relaxation, with properties calculated at the PBE level.

```
data_CaAc9Pr2
_cell_length_a 5.5696
_cell_length_b 5.5696
_cell_length_c 16.7072
_cell_angle_alpha 90.00
_cell_angle_beta 90.00
_cell_angle_gamma 90.00
_symmetry_space_group_name_H-M 'P 4/m m m'
_symmetry_Int_Tables_number 123
_symmetry_space_group_name_Hall '-P 4 2'
loop_
_atom_site_label
_atom_site_type_symbol
_atom_site_fract_x
_atom_site_fract_y
_atom_site_fract_z
Ca1 Ca 0.0000 0.0000 0.0000
Ac1 Ac 0.0000 0.5000 0.1704
Ac2 Ac 0.0000 0.5000 0.5000
Ac3 Ac 0.5000 0.5000 0.0000
Ac4 Ac 0.5000 0.5000 0.3342
Pr1 Pr 0.0000 0.0000 0.3328
```

Calculated volume (Å³/cell): 518
Theoretical density (Mg/m³): 7.58
Calculated formation energy (eV/atom): 0.0193

---

Entry 3:
Below is Ca12Ac7Pr after structural relaxation, with properties calculated at the PBE level.

```
data_Ca12Ac7Pr
_cell_length_a 13.0526
_cell_length_b 13.0526
_cell_length_c 13.0526
_cell_angle_alpha 90.00
_cell_angle_beta 90.00
_cell_angle_gamma 90.00
_symmetry_space_group_name_H-M 'I m -3'
_symmetry_Int_Tables_number 204
_symmetry_space_group_name_Hall '-I 2 2 3'
loop_
_atom_site_label
_atom_site_type_symbol
_atom_site_fract_x
_atom_site_fract_y
_atom_site_fract_z
Ca1 Ca 0.0000 0.3522 0.2515
Ac1 Ac 0.0000 0.0000 0.5000
Ac2 Ac 0.2500 0.2500 0.2500
Pr1 Pr 0.0000 0.0000 0.0000
```

Calculated volume (Å³/cell): 2224
Theoretical density (Mg/m³): 3.30
Calculated formation energy (eV/atom): 0.7982

---

Entry 4:
Below is CaAc3Pr2 after structural relaxation, with properties calculated at the PBE level.

```
data_CaAc3Pr2
_cell_length_a 23.7480
_cell_length_b 3.9218
_cell_length_c 12.5774
_cell_angle_alpha 90.00
_cell_angle_beta 121.52
_cell_angle_gamma 90.00
_symmetry_space_group_name_H-M 'C 1 2/m 1'
_symmetry_Int_Tables_number 12
loop_
_symmetry_equiv_pos_as_xyz
'x,y,z'
'-x,-y,-z'
'-x,y,-z'
'x,-y,z'
'x+1/2,y+1/2,z'
'-x+1/2,-y+1/2,-z'
'-x+1/2,y+1/2,-z'
'x+1/2,-y+1/2,z'
loop_
_atom_site_label
_atom_site_type_symbol
_atom_site_fract_x
_atom_site_fract_y
_atom_site_fract_z
Ca1 Ca 0.1056 0.0000 0.2216
Ac1 Ac 0.0562 0.5000 0.4267
Ac2 Ac 0.1123 0.0000 0.7428
Ac3 Ac 0.2271 0.0000 0.6079
Pr1 Pr 0.0581 0.5000 0.9330
Pr2 Pr 0.2210 0.0000 0.0924
```

Calculated volume (Å³/cell): 999
Theoretical density (Mg/m³): 6.67
Calculated formation energy (eV/atom): 0.0494

---

Entry 5:
Below is Ca5Ac6Pr after structural relaxation, with properties calculated at the PBE level.

```
data_Ca5Ac6Pr
_cell_length_a 5.5088
_cell_length_b 11.2510
_cell_length_c 16.5718
_cell_angle_alpha 90.00
_cell_angle_beta 90.00
_cell_angle_gamma 90.00
_symmetry_space_group_name_H-M 'I m m m'
_symmetry_Int_Tables_number 71
_symmetry_space_group_name_Hall '-I 2 2'
loop_
_atom_site_label
_atom_site_type_symbol
_atom_site_fract_x
_atom_site_fract_y
_atom_site_fract_z
Ca1 Ca 0.0000 0.0000 0.0000
Ca2 Ca 0.0000 0.0000 0.3330
Ca3 Ca 0.0000 0.5000 0.3357
Ac1 Ac 0.0000 0.2413 0.5000
Ac2 Ac 0.0000 0.2555 0.1642
Pr1 Pr 0.0000 0.5000 0.0000
```

Calculated volume (Å³/cell): 1027
Theoretical density (Mg/m³): 5.51
Calculated formation energy (eV/atom): 0.0593

---

Entry 6:
Below is Ca6AcPr2 after structural relaxation, with properties calculated at the PBE level.

```
data_Ca6AcPr2
_cell_length_a 20.0982
_cell_length_b 3.8445
_cell_length_c 9.4325
_cell_angle_alpha 90.00
_cell_angle_beta 90.21
_cell_angle_gamma 90.00
_symmetry_space_group_name_H-M 'C 1 2/m 1'
_symmetry_Int_Tables_number 12
loop_
_symmetry_equiv_pos_as_xyz
'x,y,z'
'-x,-y,-z'
'-x,y,-z'
'x,-y,z'
'x+1/2,y+1/2,z'
'-x+1/2,-y+1/2,-z'
'-x+1/2,y+1/2,-z'
'x+1/2,-y+1/2,z'
loop_
_atom_site_label
_atom_site_type_symbol
_atom_site_fract_x
_atom_site_fract_y
_atom_site_fract_z
Ca1 Ca 0.1095 0.0000 0.1564
Ca2 Ca 0.1667 0.5000 0.4988
Ca3 Ca 0.2193 0.0000 0.8319
Ac1 Ac 0.0000 0.0000 0.5000
Pr1 Pr 0.0512 0.5000 0.8283
```

Calculated volume (Å³/cell): 729
Theoretical density (Mg/m³): 3.41
Calculated formation energy (eV/atom): 0.0442

---

Entry 7:
Below is CaAc2Pr2 after structural relaxation, with properties calculated at the PBE level.

```
data_CaAc2Pr2
_cell_length_a 3.8664
_cell_length_b 3.8664
_cell_length_c 47.2280
_cell_angle_alpha 90.00
_cell_angle_beta 90.00
_cell_angle_gamma 120.00
_symmetry_space_group_name_H-M 'R -3 m'
_symmetry_Int_Tables_number 166
_symmetry_space_group_name_Hall '-R 3 2"'
loop_
_atom_site_label
_atom_site_type_symbol
_atom_site_fract_x
_atom_site_fract_y
_atom_site_fract_z
Ca1 Ca 0.0000 0.0000 0.0000
Ac1 Ac 0.0000 0.0000 0.4030
Pr1 Pr 0.0000 0.0000 0.1985
```

Calculated volume (Å³/cell): 611
Theoretical density (Mg/m³): 6.32
Calculated formation energy (eV/atom): 0.0217

---

Entry 8:
Below is CaAc2Pr3 after structural relaxation, with properties calculated at the PBE level.

```
data_CaAc2Pr3
_cell_length_a 17.7444
_cell_length_b 6.2072
_cell_length_c 10.3368
_cell_angle_alpha 90.00
_cell_angle_beta 123.12
_cell_angle_gamma 90.00
_symmetry_space_group_name_H-M 'C 1 2/m 1'
_symmetry_Int_Tables_number 12
loop_
_symmetry_equiv_pos_as_xyz
'x,y,z'
'-x,-y,-z'
'-x,y,-z'
'x,-y,z'
'x+1/2,y+1/2,z'
'-x+1/2,-y+1/2,-z'
'-x+1/2,y+1/2,-z'
'x+1/2,-y+1/2,z'
loop_
_atom_site_label
_atom_site_type_symbol
_atom_site_fract_x
_atom_site_fract_y
_atom_site_fract_z
Ca1 Ca 0.1178 0.0000 0.0992
Ac1 Ac 0.0438 0.5000 0.2252
Ac2 Ac 0.1915 0.0000 0.5151
Pr1 Pr 0.0618 0.0000 0.7082
Pr2 Pr 0.1355 0.5000 0.6530
Pr3 Pr 0.2043 0.5000 0.0513
```

Calculated volume (Å³/cell): 954
Theoretical density (Mg/m³): 6.39
Calculated formation energy (eV/atom): 0.0814

---

Entry 9:
Below is Ca5Ac2Pr after structural relaxation, with properties calculated at the PBE level.

```
data_Ca5Ac2Pr
_cell_length_a 7.6444
_cell_length_b 15.0137
_cell_length_c 5.8531
_cell_angle_alpha 90.00
_cell_angle_beta 90.00
_cell_angle_gamma 90.00
_symmetry_space_group_name_H-M 'P b a m'
_symmetry_Int_Tables_number 55
loop_
_symmetry_equiv_pos_as_xyz
'x,y,z'
'-x,-y,-z'
'-x,-y,z'
'x,y,-z'
'x+1/2,-y+1/2,-z'
'-x+1/2,y+1/2,z'
'-x+1/2,y+1/2,-z'
'x+1/2,-y+1/2,z'
loop_
_atom_site_label
_atom_site_type_symbol
_atom_site_fract_x
_atom_site_fract_y
_atom_site_fract_z
Ca1 Ca 0.0000 0.0000 0.0000
Ca2 Ca 0.0961 0.2513 0.0000
Ca3 Ca 0.1805 0.8673 0.5000
Ac1 Ac 0.1712 0.6061 0.5000
Pr1 Pr 0.0000 0.5000 0.0000
```

Calculated volume (Å³/cell): 672
Theoretical density (Mg/m³): 3.93
Calculated formation energy (eV/atom): 0.0647

---

Entry 10:
Below is CaAc4Pr after structural relaxation, with properties calculated at the PBE level.

```
data_CaAc4Pr
_cell_length_a 10.7536
_cell_length_b 5.3298
_cell_length_c 9.4936
_cell_angle_alpha 90.00
_cell_angle_beta 90.00
_cell_angle_gamma 90.00
_symmetry_space_group_name_H-M 'P m m a'
_symmetry_Int_Tables_number 51
loop_
_symmetry_equiv_pos_as_xyz
'x,y,z'
'-x,-y,-z'
'-x+1/2,-y,z'
'x+1/2,y,-z'
'x+1/2,-y,-z'
'-x+1/2,y,z'
'-x,y,-z'
'x,-y,z'
loop_
_atom_site_label
_atom_site_type_symbol
_atom_site_fract_x
_atom_site_fract_y
_atom_site_fract_z
Ca1 Ca 0.2500 0.0000 0.1488
Ac1 Ac 0.0000 0.0000 0.5000
Ac2 Ac 0.0268 0.5000 0.8070
Ac3 Ac 0.2500 0.5000 0.4805
Pr1 Pr 0.2500 0.0000 0.7552
```

Calculated volume (Å³/cell): 544
Theoretical density (Mg/m³): 6.65
Calculated formation energy (eV/atom): 0.1902

---

Entry 11:
Below is CaAc4Pr6 after structural relaxation, with properties calculated at the PBE level.

```
data_CaAc4Pr6
_cell_length_a 8.1026
_cell_length_b 8.1026
_cell_length_c 14.3049
_cell_angle_alpha 90.00
_cell_angle_beta 90.00
_cell_angle_gamma 90.00
_symmetry_space_group_name_H-M 'I -4 2 m'
_symmetry_Int_Tables_number 121
_symmetry_space_group_name_Hall 'I -4 2'
loop_
_atom_site_label
_atom_site_type_symbol
_atom_site_fract_x
_atom_site_fract_y
_atom_site_fract_z
Ca1 Ca 0.0000 0.0000 0.0000
Ac1 Ac 0.2432 0.2432 0.8095
Pr1 Pr 0.0000 0.5000 0.0000
Pr2 Pr 0.1676 0.1676 0.5725
```

Calculated volume (Å³/cell): 939
Theoretical density (Mg/m³): 6.34
Calculated formation energy (eV/atom): 0.2687

---

Entry 12:
Below is CaAc2Pr after structural relaxation, with properties calculated at the PBE level.

```
data_CaAc2Pr
_cell_length_a 8.7438
_cell_length_b 8.7438
_cell_length_c 8.7438
_cell_angle_alpha 90.00
_cell_angle_beta 90.00
_cell_angle_gamma 90.00
_symmetry_space_group_name_H-M 'F m -3 m'
_symmetry_Int_Tables_number 225
_symmetry_space_group_name_Hall '-F 4 2 3'
loop_
_atom_site_label
_atom_site_type_symbol
_atom_site_fract_x
_atom_site_fract_y
_atom_site_fract_z
Ca1 Ca 0.0000 0.0000 0.0000
Ac1 Ac 0.2500 0.2500 0.2500
Pr1 Pr 0.0000 0.0000 0.5000
```

Calculated volume (Å³/cell): 669
Theoretical density (Mg/m³): 6.31
Calculated formation energy (eV/atom): 0.0722